Entry from the Alexandria database: a relaxed structure of GePdS2N (GGA-PBE).

energy relative to the elements, uncorrected: 769 meV per atom
N(E_F): 3.2 states/eV/f.u.

a = 4.929 Å, b = 4.929 Å, c = 3.720 Å
α = 90.00°, β = 90.00°, γ = 90.00°
Atoms (fractional coordinates):
Ge 0.500 0.500 0.500
S 0.000 0.500 0.000
S 0.500 0.000 0.000
Pd 0.000 0.000 0.000
N 0.000 0.000 0.500

Entry from the Alexandria database: a relaxed structure of GePdSe2N (GGA-PBE).

energy relative to the elements, uncorrected: 687 meV per atom
N(E_F): 4.0 states/eV/f.u.

a = 5.204 Å, b = 5.204 Å, c = 3.714 Å
α = 90.00°, β = 90.00°, γ = 90.00°
Atoms (fractional coordinates):
Ge 0.500 0.500 0.500
Se 0.000 0.500 0.000
Se 0.500 0.000 0.000
Pd 0.000 0.000 0.000
N 0.000 0.000 0.500

Entry from the Alexandria database: a relaxed structure of GePdSe2N (GGA-PBE).

energy relative to the elements, uncorrected: 773 meV per atom
N(E_F): 4.3 states/eV/f.u.

a = 5.214 Å, b = 5.214 Å, c = 3.420 Å
α = 90.00°, β = 90.00°, γ = 90.00°
Atoms (fractional coordinates):
Ge 0.000 0.000 0.000
Se 0.000 0.500 0.000
Se 0.500 0.000 0.000
Pd 0.500 0.500 0.500
N 0.000 0.000 0.500

Entry from the Alexandria database: a relaxed structure of GeTe2PdN (GGA-PBE).

energy relative to the elements, uncorrected: 657 meV per atom
N(E_F): 3.8 states/eV/f.u.

a = 5.576 Å, b = 5.576 Å, c = 3.707 Å
α = 90.00°, β = 90.00°, γ = 90.00°
Atoms (fractional coordinates):
Ge 0.500 0.500 0.500
Te 0.000 0.500 0.000
Te 0.500 0.000 0.000
Pd 0.000 0.000 0.000
N 0.000 0.000 0.500

Entry from the Alexandria database: a relaxed structure of GeTe2PdN (GGA-PBE).

energy relative to the elements, uncorrected: 675 meV per atom
N(E_F): 1.5 states/eV/f.u.

a = 5.602 Å, b = 5.602 Å, c = 3.433 Å
α = 90.00°, β = 90.00°, γ = 90.00°
Atoms (fractional coordinates):
Ge 0.000 0.000 0.000
Te 0.000 0.500 0.000
Te 0.500 0.000 0.000
Pd 0.500 0.500 0.500
N 0.000 0.000 0.500

Entry from the Alexandria database: a relaxed structure of GeTePdN2 (GGA-PBE).

energy relative to the elements, uncorrected: 1154 meV per atom
N(E_F): 3.8 states/eV/f.u.

a = 3.706 Å, b = 3.706 Å, c = 7.339 Å
α = 90.00°, β = 90.00°, γ = 90.00°
Atoms (fractional coordinates):
Ge 0.000 0.000 0.000
Te 0.000 0.000 0.500
Pd 0.500 0.500 0.500
N 0.000 0.500 0.000
N 0.500 0.000 0.000

Entry from the Alexandria database: a relaxed structure of GeTePdN2 (GGA-PBE).

energy relative to the elements, uncorrected: 1387 meV per atom
N(E_F): 3.4 states/eV/f.u.

a = 4.082 Å, b = 4.082 Å, c = 5.651 Å
α = 90.00°, β = 90.00°, γ = 90.00°
Atoms (fractional coordinates):
Ge 0.500 0.500 0.500
Te 0.000 0.000 0.500
Pd 0.000 0.000 0.000
N 0.000 0.500 0.000
N 0.500 0.000 0.000

Entry from the Alexandria database: a relaxed structure of ThGePdN (GGA-PBE).

energy relative to the elements, uncorrected: -806 meV per atom
N(E_F): 1.9 states/eV/f.u.

a = 3.588 Å, b = 3.588 Å, c = 5.917 Å
α = 107.65°, β = 107.65°, γ = 90.00°
Atoms (fractional coordinates):
Th 0.630 0.630 0.261
Ge 0.920 0.920 0.840
Pd 0.345 0.345 0.689
N 0.117 0.117 0.234

Entry from the Alexandria database: a relaxed structure of VGePdN2 (GGA-PBE).

energy relative to the elements, uncorrected: 1367 meV per atom
N(E_F): 6.1 states/eV/f.u.

a = 3.777 Å, b = 4.776 Å, c = 3.777 Å
α = 90.00°, β = 90.00°, γ = 90.00°
Atoms (fractional coordinates):
Ge 0.000 0.000 0.000
N 0.000 0.000 0.500
N 0.500 0.000 0.000
Pd 0.000 0.500 0.000
V 0.500 0.500 0.500

Entry from the Alexandria database: a relaxed structure of PmGeN (GGA-PBE).

energy relative to the elements, uncorrected: -903 meV per atom
N(E_F): 0.6 states/eV/f.u.

a = 4.111 Å, b = 5.179 Å, c = 10.780 Å
α = 90.00°, β = 90.00°, γ = 90.00°
Atoms (fractional coordinates):
Ge 0.750 0.895 0.974
Ge 0.250 0.605 0.026
Ge 0.250 0.395 0.526
Ge 0.750 0.105 0.474
N 0.750 0.107 0.294
N 0.250 0.393 0.706
N 0.250 0.607 0.206
N 0.750 0.893 0.794
Pm 0.250 0.111 0.181
Pm 0.750 0.389 0.819
Pm 0.750 0.611 0.319
Pm 0.250 0.889 0.681

Entry from the Alexandria database: a relaxed structure of Pm8Ge5N (GGA-PBE).

energy relative to the elements, uncorrected: -778 meV per atom
N(E_F): 6.6 states/eV/f.u.

a = 7.773 Å, b = 7.773 Å, c = 7.773 Å
α = 110.72°, β = 107.01°, γ = 110.72°
Atoms (fractional coordinates):
Pm 0.144 0.723 0.979
Pm 0.021 0.165 0.744
Pm 0.741 0.238 0.353
Pm 0.647 0.387 0.885
Pm 0.498 0.613 0.259
Pm 0.579 0.835 0.856
Pm 0.256 0.277 0.421
Pm 0.115 0.762 0.502
Ge 0.005 0.372 0.131
Ge 0.869 0.874 0.242
Ge 0.758 0.628 0.632
Ge 0.500 0.000 0.500
Ge 0.368 0.126 0.995
N 0.250 0.500 0.750

Entry from the Alexandria database: a relaxed structure of Pm6GeN3 (GGA-PBE).

energy relative to the elements, uncorrected: -808 meV per atom
N(E_F): 6.5 states/eV/f.u.

a = 3.854 Å, b = 7.987 Å, c = 7.987 Å
α = 109.40°, β = 90.00°, γ = 90.00°
Atoms (fractional coordinates):
Pm 0.000 0.052 0.312
Pm 0.000 0.948 0.688
Pm 0.000 0.312 0.052
Pm 0.000 0.688 0.948
Pm 0.500 0.676 0.324
Pm 0.500 0.324 0.676
Ge 0.000 0.500 0.500
N 0.500 0.500 0.000
N 0.000 0.000 0.000
N 0.500 0.000 0.500

no.,M_tot (Bohr magnetons per cell)
1,0.51
2,0.60
3,0.00
4,0.00
5,0.00
6,0.04
7,2.99
8,0.00
9,0.00
10,0.00
11,0.00
12,1.51